Entry 1:
Compound: CeNdAgAu
Source: Alexandria
Functional: GGA-PBE
Structure: optimized geometry

Summary:
Total moment   1.13 μB/cell
Calculated total energy   -4.61 eV per atom
Calculated formation energy   -1.63 eV/f.u.

abc: 5.265 5.265 5.265
angles: 60.00 60.00 60.00
Positions (direct):
Ce 0.000 0.000 0.000
Nd 0.500 0.500 0.500
Ag 0.250 0.250 0.250
Au 0.750 0.750 0.750

***

Entry 2:
Compound: CePaAgAu
Source: Alexandria
Functional: GGA-PBE
Structure: optimized geometry

Summary:
Total moment   2.43 μB/cell
Calculated total energy   -5.45 eV per atom
Calculated formation energy   -0.24 eV/f.u.

abc: 5.165 5.165 5.165
angles: 60.00 60.00 60.00
Positions (direct):
Ce 0.000 0.000 0.000
Pa 0.500 0.500 0.500
Ag 0.750 0.750 0.750
Au 0.250 0.250 0.250

***

Entry 3:
Compound: CeAgPbAu
Source: Alexandria
Functional: GGA-PBE
Structure: optimized geometry

Summary:
Total moment   0.82 μB/cell
Calculated total energy   -4.32 eV per atom
Calculated formation energy   -1.52 eV/f.u.

abc: 5.133 5.133 5.133
angles: 60.00 60.00 60.00
Positions (direct):
Ce 0.000 0.000 0.000
Ag 0.250 0.250 0.250
Pb 0.500 0.500 0.500
Au 0.750 0.750 0.750